The following is a GGA-PBEsol calculation of a relaxed CaMg2Pb crystal, from Alexandria via LeMat-Bulk.

```
data_CaMg2Pb
_space_group_name_H-M_alt 'P 1'
_space_group_IT_number 1
_cell_length_a 3.7026
_cell_length_b 3.7009
_cell_length_c 7.6761
_cell_angle_alpha 90.00
_cell_angle_beta 90.00
_cell_angle_gamma 90.00
loop_
_space_group_symop_operation_xyz
'x,y,z'
loop_
_atom_site_label
_atom_site_type_symbol
_atom_site_fract_x
_atom_site_fract_y
_atom_site_fract_z
Ca1 Ca 0.5000 0.5000 0.7498
Mg1 Mg 0.0000 0.0000 0.0334
Mg2 Mg 0.5000 0.5000 0.2449
Pb1 Pb 0.0000 0.0000 0.4719
```

- M_tot (μB/f.u.) = 0.00
- energy relative to the elements (eV/f.u.) = -0.793
- VASP energy (eV for the cell shown) = -10.359
- Fermi-level density of states (states/eV per atom) = 0.4375